Material: K2LiNpS4
Method: DFT, PBE
State: relaxed

Unit cell a=6.7605 b=4.0675 c=7.5962 alpha=90.00 beta=107.28 gamma=90.00
With the nearest neighbours (Å) after each atom.
Sites, in units of the cell vectors:
K 0.0000 0.0000 0.0000  6 S 3.23-3.28
K 0.5000 0.5000 0.0000  6 S 3.12-3.16
Li 0.0000 0.5000 0.5000  6 S 2.71-2.79
Np 0.5000 0.0000 0.5000  6 S 2.52-2.70
S 0.2550 0.0000 0.6942  1 Np 2.52, 2 Li 2.79
S 0.2769 0.5000 0.3053  2 Np 2.70, 1 Li 2.71
S 0.7231 0.5000 0.6947  2 Np 2.70, 1 Li 2.71
S 0.7450 0.0000 0.3058  1 Np 2.52, 2 Li 2.79

Output
Its total energy is -43.5 eV/f.u. Its space-group type is P2/m (10). The calculation puts the calculated density at 3.7 g cm⁻³. The calculation puts the formation energy from raw total energies at -1246 meV/atom.